(P)
16
Lattice="-4.379 4.379 6.231 4.379 -4.379 6.231 4.379 4.379 -6.231" Properties=species:S:1:pos:R:3 comment="Dy4Tm3Sc GGA-PBE relaxed" sg=I4/mcm pbc="T T T"
Dy 3.062 -1.317 2.027
Dy 5.696 -1.317 4.204
Dy 5.696 1.317 2.027
Dy 3.062 1.317 4.204
Dy 1.317 3.062 2.027
Dy -1.317 3.062 4.204
Dy -1.317 5.696 2.027
Dy 1.317 5.696 4.204
Tm 3.084 1.295 0.000
Tm 0.000 0.000 3.116
Tm 3.084 -1.295 6.231
Tm 1.295 5.674 0.000
Tm 0.000 0.000 9.347
Tm 1.295 3.084 6.231
Sc 0.000 0.000 0.000
Sc 0.000 0.000 6.231

---

(Q)
16
Lattice="11.048 0.000 0.000 0.000 7.132 0.000 0.000 0.000 6.169" Properties=species:S:1:pos:R:3 comment="Dy4Tm3Sc GGA-PBE relaxed" sg=Pmn2_1 pbc="T T T"
Dy 0.000 0.912 0.000
Dy 0.000 6.221 3.048
Dy 2.723 6.217 5.138
Dy 2.800 0.915 2.053
Dy 5.524 0.911 6.132
Dy 5.524 6.220 3.085
Dy 8.247 0.915 2.053
Dy 8.324 6.217 5.138
Tm 0.000 2.693 3.065
Tm 2.756 2.697 5.110
Tm 2.768 4.435 2.025
Tm 5.524 4.439 6.150
Tm 8.280 4.435 2.025
Tm 8.292 2.697 5.110
Sc 0.000 4.437 6.148
Sc 5.524 2.695 3.064

---

Which of them is most stable? Easy: (Q).

---

(P)
13
Lattice="11.155 -3.272 0.000 11.155 3.272 0.000 -1.304 0.000 5.305" Properties=species:S:1:pos:R:3 comment="Dy2Tm8Sc3 GGA-PBE relaxed" sg=C2/m pbc="T T T"
Dy 4.705 0.000 1.190
Dy 16.302 0.000 4.114
Tm 1.551 0.000 0.397
Tm 7.403 1.701 1.860
Tm 6.162 0.000 4.366
Tm 13.604 1.701 3.444
Tm 7.403 -1.701 1.860
Tm 14.845 0.000 0.939
Tm 13.604 -1.701 3.444
Tm 19.456 0.000 4.908
Sc 10.504 1.696 2.652
Sc 11.155 0.000 0.000
Sc 10.504 -1.696 2.652

---

(Q)
13
Lattice="3.703 -9.808 0.000 3.703 9.808 0.000 0.000 0.000 5.417" Properties=species:S:1:pos:R:3 comment="Dy2Tm8Sc3 GGA-PBE relaxed" sg=Cmmm pbc="T T T"
Dy 3.703 5.098 0.000
Dy 3.703 -5.098 0.000
Tm 3.703 7.330 2.708
Tm 2.127 2.011 0.000
Tm 3.703 3.181 2.708
Tm 2.127 -2.011 0.000
Tm 5.279 2.011 0.000
Tm 3.703 -3.181 2.708
Tm 5.279 -2.011 0.000
Tm 3.703 -7.330 2.708
Sc 0.000 0.000 0.000
Sc 2.141 0.000 2.708
Sc 5.265 0.000 2.708

---

Which of them is most stable? Easy: (P).

---

(P)
13
Lattice="7.255 -4.490 0.000 7.255 4.490 0.000 -2.172 0.000 6.247" Properties=species:S:1:pos:R:3 comment="Dy3Tm8Sc2 GGA-PBE relaxed" sg=C2/m pbc="T T T"
Dy 0.000 0.000 0.000
Dy 6.169 2.946 3.123
Dy 6.169 -2.946 3.123
Tm 0.827 0.000 5.599
Tm 3.760 1.625 5.059
Tm 5.363 0.000 1.727
Tm 8.578 1.625 1.188
Tm 3.760 -1.625 5.059
Tm 6.975 0.000 4.520
Tm 8.578 -1.625 1.188
Tm 11.511 0.000 0.648
Sc 2.071 0.000 2.644
Sc 10.267 0.000 3.603

---

(Q)
13
Lattice="3.780 -9.679 0.000 3.780 9.679 0.000 0.000 0.000 5.491" Properties=species:S:1:pos:R:3 comment="Dy3Tm8Sc2 GGA-PBE relaxed" sg=Cmmm pbc="T T T"
Dy 0.000 0.000 0.000
Dy 2.167 0.000 2.745
Dy 5.392 0.000 2.745
Tm 3.780 7.053 2.745
Tm 2.188 2.187 0.000
Tm 3.780 3.403 2.745
Tm 2.188 -2.187 0.000
Tm 5.371 2.187 0.000
Tm 3.780 -3.403 2.745
Tm 5.371 -2.187 0.000
Tm 3.780 -7.053 2.745
Sc 3.780 5.013 0.000
Sc 3.780 -5.013 0.000

---

Which of them is most stable? Easy: (P).

---

(P)
14
Lattice="3.570 0.000 0.000 0.000 20.917 0.000 0.000 0.000 5.223" Properties=species:S:1:pos:R:3 comment="DyTm2Sc4 GGA-PBE relaxed" sg=Cmmm pbc="T T T"
Dy 0.000 0.000 0.000
Dy 1.785 10.458 0.000
Tm 0.000 8.919 2.612
Tm 0.000 11.998 2.612
Tm 1.785 1.539 2.612
Tm 1.785 19.378 2.612
Sc 0.000 4.118 2.612
Sc 0.000 6.711 0.000
Sc 0.000 14.206 0.000
Sc 0.000 16.799 2.612
Sc 1.785 3.747 0.000
Sc 1.785 6.341 2.612
Sc 1.785 14.576 2.612
Sc 1.785 17.170 0.000

---

(Q)
14
Lattice="10.532 0.000 0.000 0.000 11.027 0.000 0.000 0.000 3.353" Properties=species:S:1:pos:R:3 comment="DyTm2Sc4 GGA-PBE relaxed" sg=Cmmm pbc="T T T"
Dy 0.000 0.000 0.000
Dy 5.266 5.513 0.000
Tm 2.067 5.513 1.677
Tm 3.199 0.000 1.677
Tm 7.333 0.000 1.677
Tm 8.465 5.513 1.677
Sc 0.000 2.992 1.677
Sc 0.000 8.034 1.677
Sc 2.633 2.757 0.000
Sc 2.633 8.270 0.000
Sc 5.266 2.521 1.677
Sc 5.266 8.506 1.677
Sc 7.899 2.757 0.000
Sc 7.899 8.270 0.000

---

Which of them is most stable? Easy: (P).

---

(P)
16
Lattice="10.708 0.000 0.000 0.000 6.892 0.000 0.000 0.000 5.971" Properties=species:S:1:pos:R:3 comment="DyTm3Sc4 GGA-PBE relaxed" sg=Pmn2_1 pbc="T T T"
Dy 0.000 0.913 0.000
Dy 5.354 5.978 2.985
Tm 0.000 5.982 2.981
Tm 2.680 0.913 2.033
Tm 2.674 5.979 5.019
Tm 5.354 0.910 5.966
Tm 8.028 0.913 2.033
Tm 8.034 5.979 5.019
Sc 0.000 2.631 3.024
Sc 0.000 4.263 0.035
Sc 2.668 4.262 1.994
Sc 2.686 2.630 4.979
Sc 5.354 2.629 3.020
Sc 5.354 4.261 0.039
Sc 8.021 2.630 4.979
Sc 8.040 4.262 1.994

---

(Q)
8
Lattice="3.723 0.000 0.000 0.000 5.426 0.000 0.000 0.000 10.847" Properties=species:S:1:pos:R:3 comment="DyTm3Sc4 GGA-PBE relaxed" sg=Pmmm pbc="T T T"
Dy 0.000 0.000 0.000
Tm 0.000 0.000 5.424
Tm 0.000 2.713 2.720
Tm 0.000 2.713 8.127
Sc 1.861 0.000 2.733
Sc 1.861 0.000 8.115
Sc 1.861 2.713 0.000
Sc 1.861 2.713 5.424

---

Which of them is most stable? Easy: (P).

---

(P)
19
Lattice="-5.211 5.211 5.211 5.211 -5.211 5.211 5.211 5.211 -5.211" Properties=species:S:1:pos:R:3 comment="Dy12TmSc6 GGA-PBE relaxed" sg=Im-3 pbc="T T T"
Dy 5.211 3.165 -2.433
Dy 2.777 0.000 2.045
Dy 7.644 0.000 2.045
Dy 2.045 2.777 0.000
Dy 3.165 -2.433 5.211
Dy 0.000 2.045 2.777
Dy 5.211 3.165 2.433
Dy 2.045 7.644 0.000
Dy 3.165 2.433 5.211
Dy -2.433 5.211 3.165
Dy 2.433 5.211 3.165
Dy 0.000 2.045 7.644
Tm 0.000 0.000 0.000
Sc 5.211 1.436 0.000
Sc 5.211 0.000 3.774
Sc 3.774 5.211 0.000
Sc 1.436 0.000 5.211
Sc 0.000 5.211 1.436
Sc 0.000 3.774 5.211

---

(Q)
19
Lattice="7.310 4.220 3.260 -7.310 4.220 3.260 0.000 -8.441 3.260" Properties=species:S:1:pos:R:3 comment="Dy12TmSc6 GGA-PBE relaxed" sg=R-3m pbc="T T T"
Dy -2.837 -3.528 3.260
Dy -4.473 -0.693 3.260
Dy 0.000 -1.885 2.016
Dy -1.633 0.943 2.016
Dy 1.633 0.943 2.016
Dy 2.837 -3.528 3.260
Dy -1.637 4.220 3.260
Dy 4.473 -0.693 3.260
Dy 1.637 4.220 3.260
Dy -1.633 -0.943 7.764
Dy 1.633 -0.943 7.764
Dy 0.000 1.885 7.764
Tm 0.000 0.000 4.890
Sc 0.000 -4.964 3.739
Sc -4.299 2.482 3.739
Sc -4.299 -2.482 6.041
Sc 4.299 2.482 3.739
Sc 4.299 -2.482 6.041
Sc 0.000 4.964 6.041

---

Which of them is most stable? Easy: (P).